#one
A plane-wave DFT calculation with PBE-GGA was carried out for an optimized crystal structure of Ca2PbCl.

abc: 4.9833 4.9833 8.9969
angles: 61.84 61.84 44.93
Closest atoms and distances in Å follow each position.
Fractional coordinates of all 4 atoms:
Ca 0.0713 0.0713 0.0256  2 Cl 2.88, 3 Pb 3.19-3.22
Pb 0.2500 0.2500 0.2500  6 Ca 3.19-3.22
Ca 0.4287 0.4287 0.4744  2 Cl 2.88, 3 Pb 3.19-3.22
Cl 0.7500 0.7500 0.7500  4 Ca 2.88

***

#two
A plane-wave DFT calculation with PBE-GGA was carried out for an optimized crystal structure of Ca2PbCl.

abc: 4.1802 4.1802 8.5374
angles: 75.83 75.83 60.00
Closest atoms and distances in Å follow each position.
Fractional coordinates of all 4 atoms:
Pb 0.6677 0.6677 0.9968  6 Ca 3.15-3.16
Cl 0.4956 0.4956 0.5131  6 Ca 3.08-3.27
Ca 0.2523 0.2523 0.2431  3 Pb 3.15, 3 Cl 3.27
Ca 0.0843 0.0843 0.7470  3 Cl 3.08, 3 Pb 3.16

***

So which one is most stable? That would be #one, about 105 meV per atom below the next structure.

***

#one
A plane-wave DFT calculation with PBE-GGA was carried out for an optimized crystal structure of Ca2PbCl.

abc: 5.9188 5.9188 5.9188
angles: 139.32 109.86 84.38
Closest atoms and distances in Å follow each position.
Fractional coordinates of all 4 atoms:
Ca 0.4634 0.4634 0.0000  2 Cl 2.78
Ca 0.0366 0.0366 0.0000  2 Cl 2.78
Pb 0.7500 0.2500 0.5000  4 Ca 3.25
Cl 0.2500 0.7500 0.5000  4 Ca 2.78

***

#two
A plane-wave DFT calculation with PBE-GGA was carried out for an optimized crystal structure of Ca2PbCl.

abc: 8.2963 8.2963 8.2963
angles: 153.52 150.93 39.72
Closest atoms and distances in Å follow each position.
Fractional coordinates of all 4 atoms:
Cl 0.4545 0.4545 0.0000  6 Ca 3.08-3.18
Pb 0.6980 0.1980 0.5000  6 Ca 3.13-3.23
Ca 0.0484 0.0484 0.0000  2 Pb 3.13, 4 Cl 3.18
Ca 0.2992 0.7992 0.5000  2 Cl 3.08, 4 Pb 3.23

***

So which one is most stable? That would be #two, about 6 meV per atom below the next structure.

***

#one
A plane-wave DFT calculation with PBE-GGA was carried out for an optimized crystal structure of Ca2PbCl.

abc: 7.8974 7.8974 6.9600
angles: 55.43 55.43 90.00
Closest atoms and distances in Å follow each position.
Fractional coordinates of all 8 atoms:
Ca 0.1645 0.6250 0.2500  2 Cl 2.78
Ca 0.5855 0.1250 0.2500  2 Cl 2.78
Ca 0.3750 0.4145 0.7500  2 Cl 2.78
Ca 0.8750 0.8355 0.7500  2 Cl 2.78
Cl 0.5000 0.5000 0.0000  4 Ca 2.78
Pb 0.7500 0.2500 0.5000  4 Ca 3.19
Pb 0.0000 0.0000 0.0000  4 Ca 3.19
Cl 0.2500 0.7500 0.5000  4 Ca 2.78

***

#two
A plane-wave DFT calculation with PBE-GGA was carried out for an optimized crystal structure of Ca2PbCl.

abc: 4.0099 4.8521 6.2643
angles: 90.00 90.00 90.00
Closest atoms and distances in Å follow each position.
Fractional coordinates of all 4 atoms:
Cl 0.0000 0.0000 0.3736  6 Ca 3.11-3.16
Ca 0.0000 0.0000 0.8778  2 Cl 3.11-3.16, 4 Pb 3.15
Pb 0.5000 0.5000 0.8742  6 Ca 3.13-3.15
Ca 0.5000 0.5000 0.3744  2 Pb 3.13, 4 Cl 3.15

***

#three
A plane-wave DFT calculation with PBE-GGA was carried out for an optimized crystal structure of Ca2PbCl.

abc: 3.7012 4.2927 7.9755
angles: 89.97 90.00 90.00
Closest atoms and distances in Å follow each position.
Fractional coordinates of all 4 atoms:
Ca 0.0000 0.2496 0.9735  2 Cl 2.88
Ca 0.0000 0.2504 0.5265  2 Cl 2.88
Cl 0.5000 0.2500 0.2500  4 Ca 2.88
Pb 0.5000 0.7500 0.7500  8 Ca 3.35, 2 Pb 3.70

***

#four
A plane-wave DFT calculation with PBE-GGA was carried out for an optimized crystal structure of Ca2PbCl.

abc: 5.4759 5.4759 5.4759
angles: 60.00 60.00 60.00
Closest atoms and distances in Å follow each position.
Fractional coordinates of all 4 atoms:
Cl 0.0000 0.0000 0.0000  8 Ca 3.35
Pb 0.5000 0.5000 0.5000  8 Ca 3.35
Ca 0.2500 0.2500 0.2500  4 Cl 3.35, 4 Pb 3.35
Ca 0.7500 0.7500 0.7500  4 Cl 3.35, 4 Pb 3.35

***

So which one is most stable? That would be #three, about 68 meV per atom below the next structure.

***

#one
A plane-wave DFT calculation with PBE-GGA was carried out for an optimized crystal structure of Ca2PbCl6.

abc: 6.2489 7.0693 7.0693
angles: 120.00 90.00 90.00
Closest atoms and distances in Å follow each position.
Fractional coordinates of all 9 atoms:
Cl 0.7398 0.6535 0.6535  2 Ca 2.75, 1 Pb 2.94
Cl 0.2602 0.6535 0.0000  2 Ca 2.75, 1 Pb 2.94
Pb 0.0000 0.0000 0.0000  6 Cl 2.94
Ca 0.5000 0.6667 0.3333  6 Cl 2.75
Cl 0.7398 0.0000 0.3465  2 Ca 2.75, 1 Pb 2.94
Cl 0.7398 0.3465 0.0000  2 Ca 2.75, 1 Pb 2.94
Cl 0.2602 0.0000 0.6535  2 Ca 2.75, 1 Pb 2.94
Ca 0.5000 0.3333 0.6667  6 Cl 2.75
Cl 0.2602 0.3465 0.3465  2 Ca 2.75, 1 Pb 2.94

***

#two
A plane-wave DFT calculation with PBE-GGA was carried out for an optimized crystal structure of Ca2PbCl6.

abc: 4.7576 7.3516 9.9811
angles: 96.72 90.00 108.88
Closest atoms and distances in Å follow each position.
Fractional coordinates of all 9 atoms:
Cl 0.8185 0.6369 0.1005  3 Ca 2.70-2.84
Ca 0.7475 0.4951 0.8213  5 Cl 2.58-2.84
Cl 0.0808 0.1616 0.2516  1 Ca 2.58, 1 Pb 2.85
Cl 0.3742 0.7484 0.4117  1 Ca 2.70, 2 Pb 3.02
Cl 0.1815 0.3631 0.8995  3 Ca 2.70-2.84
Ca 0.2525 0.5049 0.1787  5 Cl 2.58-2.84
Cl 0.9192 0.8384 0.7484  1 Ca 2.58, 1 Pb 2.85
Pb 0.0000 0.0000 0.5000  6 Cl 2.85-3.02
Cl 0.6258 0.2516 0.5883  1 Ca 2.70, 2 Pb 3.02

***

So which one is most stable? That would be #one, about 80 meV per atom below the next structure.

***

#one
A plane-wave DFT calculation with PBE-GGA was carried out for an optimized crystal structure of CaPbSCl2.

abc: 5.2059 5.2059 5.8609
angles: 90.00 90.00 90.00
Closest atoms and distances in Å follow each position.
Fractional coordinates of all 5 atoms:
Cl 0.0000 0.5000 0.0000  2 Ca 2.60
Pb 0.5000 0.5000 0.5000  4 S 3.68, 8 Cl 3.92
Ca 0.0000 0.0000 0.0000  4 Cl 2.60
Cl 0.5000 0.0000 0.0000  2 Ca 2.60
S 0.0000 0.0000 0.5000  2 Ca 2.93

***

#two
A plane-wave DFT calculation with PBE-GGA was carried out for an optimized crystal structure of CaPbSCl2.

abc: 5.2031 5.2031 5.4109
angles: 90.00 90.00 90.00
Closest atoms and distances in Å follow each position.
Fractional coordinates of all 5 atoms:
Ca 0.5000 0.5000 0.5000  4 S 3.68, 8 Cl 3.75
Cl 0.0000 0.5000 0.0000  2 Pb 2.60
Pb 0.0000 0.0000 0.0000  4 Cl 2.60, 2 S 2.71
Cl 0.5000 0.0000 0.0000  2 Pb 2.60
S 0.0000 0.0000 0.5000  2 Pb 2.71

***

So which one is most stable? That would be #one, about 363 meV per atom below the next structure.

***

#one
A plane-wave DFT calculation with PBE-GGA was carried out for an optimized crystal structure of CaPbS2Cl.

abc: 5.5277 5.5277 5.2675
angles: 90.00 90.00 90.00
Closest atoms and distances in Å follow each position.
Fractional coordinates of all 5 atoms:
Cl 0.0000 0.0000 0.5000  2 Pb 2.63
S 0.0000 0.5000 0.0000  2 Pb 2.76
Ca 0.5000 0.5000 0.5000  8 S 3.82, 4 Cl 3.91
S 0.5000 0.0000 0.0000  2 Pb 2.76
Pb 0.0000 0.0000 0.0000  2 Cl 2.63, 4 S 2.76

***

#two
A plane-wave DFT calculation with PBE-GGA was carried out for an optimized crystal structure of CaPbS2Cl.

abc: 5.2337 5.2337 5.1606
angles: 90.00 90.00 90.00
Closest atoms and distances in Å follow each position.
Fractional coordinates of all 5 atoms:
S 0.0000 0.5000 0.0000  2 Ca 2.62
Cl 0.0000 0.0000 0.5000  2 Ca 2.58
Pb 0.5000 0.5000 0.5000  8 S 3.68, 4 Cl 3.70
S 0.5000 0.0000 0.0000  2 Ca 2.62
Ca 0.0000 0.0000 0.0000  2 Cl 2.58, 4 S 2.62

***

So which one is most stable? That would be #two, about 94 meV per atom below the next structure.

***

#one
A plane-wave DFT calculation with PBE-GGA was carried out for an optimized crystal structure of CaPdCl3.

abc: 5.2999 5.2999 5.2999
angles: 90.00 90.00 90.00
Closest atoms and distances in Å follow each position.
Fractional coordinates of all 5 atoms:
Cl 0.0000 0.0000 0.5000  2 Ca 2.65
Ca 0.0000 0.0000 0.0000  6 Cl 2.65
Cl 0.5000 0.0000 0.0000  2 Ca 2.65
Pd 0.5000 0.5000 0.5000  12 Cl 3.75
Cl 0.0000 0.5000 0.0000  2 Ca 2.65

***

#two
A plane-wave DFT calculation with PBE-GGA was carried out for an optimized crystal structure of CaPdCl3.

abc: 4.9559 4.9559 4.9559
angles: 90.00 90.00 90.00
Closest atoms and distances in Å follow each position.
Fractional coordinates of all 5 atoms:
Cl 0.5000 0.0000 0.0000  2 Pd 2.48
Cl 0.0000 0.5000 0.0000  2 Pd 2.48
Pd 0.0000 0.0000 0.0000  6 Cl 2.48
Cl 0.0000 0.0000 0.5000  2 Pd 2.48
Ca 0.5000 0.5000 0.5000  12 Cl 3.50

***

So which one is most stable? That would be #two, about 127 meV per atom below the next structure.

***

#one
A plane-wave DFT calculation with PBE-GGA was carried out for an optimized crystal structure of CaPdCl6.

abc: 6.3376 6.3384 6.8760
angles: 62.56 62.55 59.99
Closest atoms and distances in Å follow each position.
Fractional coordinates of all 8 atoms:
Cl 0.2124 0.9492 0.2326  1 Pd 2.36
Cl 0.6058 0.2123 0.2326  1 Pd 2.36
Cl 0.7876 0.0508 0.7674  1 Pd 2.36
Cl 0.3942 0.7877 0.7674  1 Pd 2.36
Cl 0.0508 0.3941 0.7674  1 Pd 2.36
Ca 0.5000 0.5000 0.5000  6 Cl 2.81
Pd 0.0000 0.0000 0.0000  6 Cl 2.36
Cl 0.9492 0.6059 0.2326  1 Pd 2.36

***

#two
A plane-wave DFT calculation with PBE-GGA was carried out for an optimized crystal structure of CaPdCl6.

abc: 6.6421 6.6421 9.8993
angles: 90.90 90.90 72.69
Closest atoms and distances in Å follow each position.
Fractional coordinates of all 16 atoms:
Cl 0.7960 0.8589 0.5028  1 Pd 2.37
Cl 0.8496 0.4328 0.2957  1 Pd 2.34
Cl 0.2481 0.6131 0.3796  1 Pd 2.35
Cl 0.1411 0.2040 0.9972  1 Pd 2.37
Cl 0.6131 0.2481 0.8796  1 Pd 2.35
Ca 0.0106 0.9894 0.2500  8 Cl 2.84-3.16
Cl 0.5672 0.1504 0.2043  1 Pd 2.34
Pd 0.5000 0.0000 0.0000  6 Cl 2.34-2.37
Ca 0.9894 0.0106 0.7500  8 Cl 2.84-3.16
Cl 0.7519 0.3869 0.6204  1 Pd 2.35
Cl 0.1504 0.5672 0.7043  1 Pd 2.34
Cl 0.4328 0.8496 0.7957  1 Pd 2.34
Pd 0.0000 0.5000 0.5000  6 Cl 2.34-2.37
Cl 0.3869 0.7519 0.1204  1 Pd 2.35
Cl 0.2040 0.1411 0.4972  1 Pd 2.37
Cl 0.8589 0.7960 0.0028  1 Pd 2.37

***

So which one is most stable? That would be #two, about 53 meV per atom below the next structure.